A relaxed Sm2MgAl crystal, computed with PBE.

a b c (Å): 5.306 5.306 5.306
angles (deg): 60.00 60.00 60.00
Atoms (fractional coordinates):
Mg1 0.000 0.000 0.000
Al1 0.500 0.500 0.500
Sm1 0.250 0.250 0.250
Sm2 0.750 0.750 0.750

The calculated formation energy is -103 kJ/mol of formula units. The polymorph energy (0 for the lowest one) is 0.00 eV per formula unit.

A relaxed Cs2RbPbCl5 crystal, computed with PBE.

a b c (Å): 5.590 7.962 9.697
angles (deg): 114.24 106.75 90.00
Atoms (fractional coordinates):
Cs1 0.207 0.207 0.413
Cs2 0.793 0.793 0.587
Rb1 0.000 0.500 0.000
Pb1 0.500 0.000 0.000
Cl1 0.625 0.873 0.250
Cl2 0.375 0.127 0.750
Cl3 0.375 0.622 0.750
Cl4 0.625 0.378 0.250
Cl5 0.000 0.000 0.000

The energy relative to the elements, uncorrected comes out at -1.68 eV/atom.

A relaxed CaMg7Cd5 crystal, computed with PBE.

a b c (Å): 5.901 7.741 7.741
angles (deg): 81.94 67.59 67.59
Atoms (fractional coordinates):
Ca1 0.000 0.000 0.000
Mg1 0.646 0.354 0.354
Mg2 0.349 0.651 0.651
Mg3 0.999 0.353 0.650
Mg4 0.999 0.650 0.353
Mg5 0.282 0.218 0.218
Mg6 0.503 0.784 0.210
Mg7 0.503 0.210 0.784
Cd1 0.503 0.000 0.494
Cd2 0.003 0.000 0.494
Cd3 0.503 0.494 0.000
Cd4 0.003 0.494 0.000
Cd5 0.708 0.792 0.792

The calculated formation energy is -158 kJ/mol of formula units.

A relaxed RbTi2GaO6 crystal, computed with PBE.

a b c (Å): 6.271 7.599 7.599
angles (deg): 104.91 77.31 77.31
Atoms (fractional coordinates):
Rb1 0.250 0.897 0.103
Rb2 0.750 0.103 0.897
Ti1 0.352 0.721 0.563
Ti2 0.148 0.437 0.279
Ti3 0.648 0.279 0.437
Ti4 0.852 0.563 0.721
Ga1 0.250 0.209 0.791
Ga2 0.750 0.791 0.209
O1 0.242 0.957 0.739
O2 0.258 0.261 0.043
O3 0.758 0.043 0.261
O4 0.742 0.739 0.957
O5 0.484 0.773 0.353
O6 0.016 0.647 0.227
O7 0.516 0.227 0.647
O8 0.984 0.353 0.773
O9 0.065 0.655 0.592
O10 0.435 0.408 0.345
O11 0.935 0.345 0.408
O12 0.565 0.592 0.655

The energy relative to the elements, uncorrected comes out at -2.56 eV/atom.

A relaxed RbSr2AlRh crystal, computed with PBE.

a b c (Å): 6.296 4.742 6.296
angles (deg): 90.00 90.00 90.00
Atoms (fractional coordinates):
Sr1 0.000 0.000 0.500
Sr2 0.500 0.000 0.000
Rh1 0.000 0.500 0.000
Al1 0.000 0.000 0.000
Rb1 0.500 0.500 0.500

The calculated formation energy is 73 kJ/mol of formula units. The polymorph energy (0 for the lowest one) is 1.36 eV per formula unit.

A relaxed NaCeAgGe crystal, computed with PBE.

a b c (Å): 5.080 5.080 5.080
angles (deg): 60.00 60.00 60.00
Atoms (fractional coordinates):
Na1 0.500 0.500 0.500
Ge1 0.250 0.250 0.250
Ag1 0.750 0.750 0.750
Ce1 0.000 0.000 0.000

The calculated formation energy is -92 kJ/mol of formula units.

A relaxed KSb2C2 crystal, computed with PBE.

a b c (Å): 4.632 4.632 6.827
angles (deg): 70.17 70.17 90.00
Atoms (fractional coordinates):
Sb1 0.750 0.250 0.500
Sb2 0.250 0.750 0.500
K1 0.000 0.000 0.000
C1 0.252 0.252 0.496
C2 0.748 0.748 0.504

The polymorph energy (0 for the lowest one) is 0.76 eV per formula unit. The energy relative to the elements, uncorrected comes out at 1.24 eV/atom.

A relaxed Pm6NdSm2Mg crystal, computed with PBE.

a b c (Å): 9.241 9.063 9.063
angles (deg): 117.81 91.34 91.34
Atoms (fractional coordinates):
Pm1 0.056 0.141 0.784
Pm2 0.444 0.216 0.859
Pm3 0.944 0.859 0.216
Pm4 0.556 0.784 0.141
Pm5 0.293 0.006 0.430
Pm6 0.207 0.570 0.994
Pm7 0.707 0.994 0.570
Pm8 0.793 0.430 0.006
Pm9 0.099 0.727 0.496
Pm10 0.401 0.504 0.273
Pm11 0.901 0.273 0.504
Pm12 0.599 0.496 0.727
Nd1 0.250 0.975 0.025
Nd2 0.750 0.025 0.975
Sm1 0.447 0.785 0.673
Sm2 0.053 0.327 0.215
Sm3 0.553 0.215 0.327
Sm4 0.947 0.673 0.785
Mg1 0.250 0.423 0.577
Mg2 0.750 0.577 0.423

The calculated formation energy is 106 kJ/mol of formula units.

A relaxed TmZrPd6 crystal, computed with PBE.

a b c (Å): 4.060 4.060 8.128
angles (deg): 90.00 90.00 90.00
Atoms (fractional coordinates):
Tm1 0.000 0.000 0.000
Zr1 0.000 0.000 0.500
Pd1 0.500 0.500 0.000
Pd2 0.500 0.500 0.500
Pd3 0.500 0.000 0.256
Pd4 0.500 0.000 0.744
Pd5 0.000 0.500 0.256
Pd6 0.000 0.500 0.744

The calculated formation energy is -683 kJ/mol of formula units.

A relaxed Tb4Ge8Pt crystal, computed with PBE.

a b c (Å): 4.020 4.122 16.599
angles (deg): 90.00 90.00 90.00
Atoms (fractional coordinates):
Tb1 0.000 0.000 0.096
Tb2 0.000 0.500 0.611
Tb3 0.500 0.500 0.401
Tb4 0.500 0.000 0.892
Ge1 0.000 0.000 0.470
Ge2 0.000 0.500 0.940
Ge3 0.500 0.500 0.040
Ge4 0.500 0.000 0.566
Ge5 0.000 0.500 0.231
Ge6 0.000 0.000 0.749
Ge7 0.500 0.000 0.230
Ge8 0.500 0.500 0.755
Pt1 0.000 0.000 0.322

The calculated formation energy is -843 kJ/mol of formula units.

A relaxed TaCd2Os crystal, computed with PBE.

a b c (Å): 4.657 4.657 4.657
angles (deg): 60.00 60.00 60.00
Atoms (fractional coordinates):
Cd1 0.000 0.000 0.000
Cd2 0.250 0.250 0.250
Os1 0.500 0.500 0.500
Ta1 0.750 0.750 0.750

The calculated formation energy is 147 kJ/mol of formula units. The polymorph energy (0 for the lowest one) is 1.06 eV per formula unit.

A relaxed Be2ZnNi3 crystal, computed with PBE.

a b c (Å): 2.589 2.589 8.911
angles (deg): 90.00 90.00 90.00
Atoms (fractional coordinates):
Be1 0.500 0.500 0.850
Be2 0.500 0.500 0.150
Zn1 0.500 0.500 0.500
Ni1 0.000 0.000 0.000
Ni2 0.000 0.000 0.702
Ni3 0.000 0.000 0.298

The calculated formation energy is -231 kJ/mol of formula units.